This record from the Alexandria database describes crystalline LiCdI2 at its relaxed geometry. The functional is PBEsol.

Unit cell a=8.3804 b=8.3804 c=8.3804 alpha=133.28 beta=133.28 gamma=68.21
With the nearest neighbours (Å) after each atom.
Sites, in units of the cell vectors:
Li 0.0000 0.0000 0.0000  4 I 2.78
Li 0.7500 0.2500 0.5000  4 I 2.78
Cd 0.2500 0.7500 0.5000  4 I 3.07
Cd 0.5000 0.5000 0.0000  4 I 3.07
I 0.0862 0.6250 0.9612  2 Li 2.78, 2 Cd 3.07
I 0.3750 0.3362 0.4612  2 Li 2.78, 2 Cd 3.07
I 0.6638 0.1250 0.0388  2 Li 2.78, 2 Cd 3.07
I 0.8750 0.9138 0.5388  2 Li 2.78, 2 Cd 3.07

Computed properties:
Its magnetization is 0.000 μB/atom. For the calculated total energy, the calculation gives -17.64 eV/cell. As for the density of states at the Fermi level: 0.702 states/eV per atom. As for the space-group type: No. 122. The calculation puts the raw formation energy at -2.12 eV per formula unit. As for the crystal system: tetragonal.